[1]
Tm4Sc3Ru2 | PBE | optimized geometry Values from VASP.

Cell and atoms, written as Quantum ESPRESSO input:
```
&SYSTEM
  ibrav = 0, nat = 9, ntyp = 3
/
ATOMIC_SPECIES
Tm 168.93 Tm.upf
Sc 44.96 Sc.upf
Ru 101.07 Ru.upf
ATOMIC_POSITIONS crystal
Tm 0.2285 0.6608 0.4570
Sc 0.9197 0.8061 0.8394
Tm 0.3941 0.1396 0.7882
Ru 0.6090 0.4381 0.2180
Sc 0.0000 0.5000 0.0000
Ru 0.3910 0.5619 0.7820
Tm 0.7715 0.3392 0.5430
Sc 0.0803 0.1939 0.1606
Tm 0.6059 0.8604 0.2118
CELL_PARAMETERS angstrom
3.6751 0.0000 -1.0133
-0.7002 7.4847 -2.5397
0.2790 -0.4393 8.1830
```

Results
Formation enthalpy at 0 K: -0.261 eV per atom
Energy: -57.78 eV for the cell shown
Space-group type: C2/m, No. 12
Magnetic moment: 0.00 Bohr magnetons per cell

***

[2]
Tm2ScRu | PBE | optimized geometry Values from VASP.

Cell and atoms, written as Quantum ESPRESSO input:
```
&SYSTEM
  ibrav = 0, nat = 4, ntyp = 3
/
ATOMIC_SPECIES
Ru 101.07 Ru.upf
Tm 168.93 Tm.upf
Sc 44.96 Sc.upf
ATOMIC_POSITIONS crystal
Ru 0.5000 0.5000 0.5000
Tm 0.8972 0.8972 0.3084
Sc 0.0000 0.0000 0.0000
Tm 0.1028 0.1028 0.6916
CELL_PARAMETERS angstrom
3.3397 0.0000 0.0000
1.6698 2.8923 0.0000
1.6698 0.9641 10.3118
```

Results
Polymorph energy (0 for the lowest one): 183 kJ/mol of formula units
Formation enthalpy at 0 K: 0.096 eV per atom
Energy: -24.17 eV for the cell shown
Space-group type: R-3m, No. 166
Magnetic moment: 0.25 Bohr magnetons per cell

***

[3]
Tm3ScRu8 | PBE | optimized geometry Values from VASP.

Cell and atoms, written as Quantum ESPRESSO input:
```
&SYSTEM
  ibrav = 0, nat = 12, ntyp = 3
/
ATOMIC_SPECIES
Ru 101.07 Ru.upf
Tm 168.93 Tm.upf
Sc 44.96 Sc.upf
ATOMIC_POSITIONS crystal
Ru 0.6875 0.6875 0.9375
Tm 0.9990 0.9990 0.0031
Tm 0.3750 0.3750 0.8749
Ru 0.9375 0.9375 0.6846
Ru 0.9349 0.4373 0.1904
Ru 0.9375 0.4404 0.6846
Ru 0.4373 0.4373 0.1904
Tm 0.5008 0.5008 0.4976
Ru 0.4404 0.9375 0.6846
Sc 0.8750 0.8750 0.3750
Ru 0.4373 0.9349 0.1904
Ru 0.1877 0.1877 0.4368
CELL_PARAMETERS angstrom
5.0398 0.0000 1.5214
2.2903 4.4893 1.5214
-0.0168 -0.0103 9.1639
```

Results
Formation enthalpy at 0 K: -0.344 eV per atom
Energy: -98.08 eV for the cell shown
Space-group type: R3m, No. 160
Magnetic moment: 0.00 Bohr magnetons per cell

***

[4]
Tm2ScRu | PBE | optimized geometry Values from VASP.

Cell and atoms, written as Quantum ESPRESSO input:
```
&SYSTEM
  ibrav = 0, nat = 8, ntyp = 3
/
ATOMIC_SPECIES
Tm 168.93 Tm.upf
Sc 44.96 Sc.upf
Ru 101.07 Ru.upf
ATOMIC_POSITIONS crystal
Tm 0.3604 0.7206 0.9352
Sc 0.9252 0.8506 0.2500
Ru 0.7343 0.4684 0.7500
Sc 0.0748 0.1494 0.7500
Tm 0.3604 0.7206 0.5648
Tm 0.6396 0.2794 0.0648
Ru 0.2657 0.5316 0.2500
Tm 0.6396 0.2794 0.4352
CELL_PARAMETERS angstrom
-1.5752 2.6146 -2.2337
-3.6133 -4.8078 0.1232
-4.2620 3.3816 6.9638
```

Results
Polymorph energy (0 for the lowest one): 8 kJ/mol of formula units
Formation enthalpy at 0 K: -0.359 eV per atom
Energy: -51.97 eV for the cell shown
Space-group type: Cmcm, No. 63
Magnetic moment: 0.00 Bohr magnetons per cell

***

[5]
Tm2Sc3Ru4 | PBE | optimized geometry Values from VASP.

Cell and atoms, written as Quantum ESPRESSO input:
```
&SYSTEM
  ibrav = 0, nat = 9, ntyp = 3
/
ATOMIC_SPECIES
Ru 101.07 Ru.upf
Sc 44.96 Sc.upf
Tm 168.93 Tm.upf
ATOMIC_POSITIONS crystal
Ru 0.3333 0.3334 0.1081
Ru 0.6667 0.6666 0.8919
Sc 0.0000 0.0000 0.0000
Sc 0.6667 0.6666 0.5890
Ru 0.9999 0.0002 0.3534
Tm 0.6666 0.6668 0.2087
Tm 0.3334 0.3332 0.7913
Ru 0.0001 0.9998 0.6466
Sc 0.3333 0.3334 0.4110
CELL_PARAMETERS angstrom
-1.4628 4.0124 1.8566
-0.7523 0.3065 4.5850
8.4412 2.5148 1.2158
```

Results
Formation enthalpy at 0 K: -0.484 eV per atom
Energy: -69.40 eV for the cell shown
Space-group type: P-3m1, No. 164
Magnetic moment: 0.00 Bohr magnetons per cell

***

[6]
Tm2ScU2Ru5 | PBE | optimized geometry Values from VASP.

Cell and atoms, written as Quantum ESPRESSO input:
```
&SYSTEM
  ibrav = 0, nat = 20, ntyp = 4
/
ATOMIC_SPECIES
U 238.03 U.upf
Ru 101.07 Ru.upf
Tm 168.93 Tm.upf
Sc 44.96 Sc.upf
ATOMIC_POSITIONS crystal
U 0.0000 0.8603 0.3603
Ru 0.5000 0.7051 0.4473
Ru 0.5000 0.4473 0.2949
Ru 0.5000 0.5000 0.0000
Ru 0.5000 0.0527 0.7949
Tm 0.0000 0.3289 0.8289
U 0.0000 0.6397 0.8603
Ru 0.5000 0.2949 0.5527
Ru 0.5000 0.2051 0.0527
Tm 0.0000 0.8289 0.6711
U 0.0000 0.3603 0.1397
Ru 0.5000 0.0000 0.5000
U 0.0000 0.1397 0.6397
Ru 0.5000 0.5527 0.7051
Tm 0.0000 0.1711 0.3289
Ru 0.5000 0.9473 0.2051
Ru 0.5000 0.7949 0.9473
Sc 0.0000 0.0000 0.0000
Sc 0.0000 0.5000 0.5000
Tm 0.0000 0.6711 0.1711
CELL_PARAMETERS angstrom
3.4940 0.0000 0.0000
0.0000 10.4879 0.0000
0.0000 0.0000 10.4879
```

Results
Formation enthalpy at 0 K: -0.300 eV per atom
Energy: -174.47 eV for the cell shown
Space-group type: P4/mbm, No. 127
Magnetic moment: 0.00 Bohr magnetons per cell

***

[7]
TmScZnRu | PBE | optimized geometry Values from VASP.

Cell and atoms, written as Quantum ESPRESSO input:
```
&SYSTEM
  ibrav = 0, nat = 4, ntyp = 4
/
ATOMIC_SPECIES
Zn 65.41 Zn.upf
Tm 168.93 Tm.upf
Sc 44.96 Sc.upf
Ru 101.07 Ru.upf
ATOMIC_POSITIONS crystal
Zn 0.0000 0.0000 0.0920
Tm 0.5000 0.5000 0.7996
Sc 0.5000 0.5000 0.3402
Ru 0.0000 0.0000 0.5530
CELL_PARAMETERS angstrom
-0.1995 -1.8373 -2.7704
1.2917 -2.6002 1.6314
-6.3659 -2.0301 1.8047
```

Results
Polymorph energy (0 for the lowest one): 0 kJ/mol of formula units
Formation enthalpy at 0 K: -0.497 eV per atom
Energy: -23.34 eV for the cell shown
Space-group type: P4mm, No. 99
Magnetic moment: 0.00 Bohr magnetons per cell

***

[8]
TmScZnRu | PBE | optimized geometry Values from VASP.

Cell and atoms, written as Quantum ESPRESSO input:
```
&SYSTEM
  ibrav = 0, nat = 4, ntyp = 4
/
ATOMIC_SPECIES
Ru 101.07 Ru.upf
Sc 44.96 Sc.upf
Tm 168.93 Tm.upf
Zn 65.41 Zn.upf
ATOMIC_POSITIONS crystal
Ru 0.7500 0.7500 0.7500
Sc 0.0000 0.0000 0.0000
Tm 0.5000 0.5000 0.5000
Zn 0.2500 0.2500 0.2500
CELL_PARAMETERS angstrom
4.7412 0.0000 0.0000
2.3706 4.1060 0.0000
2.3706 1.3687 3.8712
```

Results
Polymorph energy (0 for the lowest one): 26 kJ/mol of formula units
Formation enthalpy at 0 K: -0.431 eV per atom
Energy: -23.08 eV for the cell shown
Space-group type: F-43m, No. 216
Magnetic moment: 0.00 Bohr magnetons per cell

***

[9]
TmZr2ScRu4 | PBE | optimized geometry Values from VASP.

Cell and atoms, written as Quantum ESPRESSO input:
```
&SYSTEM
  ibrav = 0, nat = 8, ntyp = 4
/
ATOMIC_SPECIES
Ru 101.07 Ru.upf
Sc 44.96 Sc.upf
Zr 91.22 Zr.upf
Tm 168.93 Tm.upf
ATOMIC_POSITIONS crystal
Ru 0.3767 0.3767 0.8698
Sc 0.5000 0.5000 0.5000
Ru 0.1264 0.1264 0.6208
Ru 0.6233 0.6233 0.1302
Zr 0.7520 0.7520 0.7441
Zr 0.2480 0.2480 0.2559
Tm 0.0000 0.0000 0.0000
Ru 0.8736 0.8736 0.3792
CELL_PARAMETERS angstrom
4.6339 0.0000 0.0000
2.3170 4.0131 0.0000
2.3170 1.3377 7.5695
```

Results
Formation enthalpy at 0 K: -0.603 eV per atom
Energy: -69.83 eV for the cell shown
Space-group type: R-3m, No. 166
Magnetic moment: 0.00 Bohr magnetons per cell

***

[10]
ScURu | PBE | optimized geometry Values from VASP.

Cell and atoms, written as Quantum ESPRESSO input:
```
&SYSTEM
  ibrav = 0, nat = 3, ntyp = 3
/
ATOMIC_SPECIES
Ru 101.07 Ru.upf
U 238.03 U.upf
Sc 44.96 Sc.upf
ATOMIC_POSITIONS crystal
Ru 0.3086 0.3086 0.6173
U 0.6932 0.6932 0.3865
Sc 0.9981 0.9981 0.9963
CELL_PARAMETERS angstrom
-3.1899 -0.6217 1.0747
0.0393 -3.0121 -1.6256
3.4142 -0.4098 4.4458
```

Results
Formation enthalpy at 0 K: -0.144 eV per atom
Energy: -27.33 eV for the cell shown
Space-group type: I4mm, No. 107
Magnetic moment: 0.74 Bohr magnetons per cell

***

[11]
ScURu5 | PBE | optimized geometry Values from VASP.

Cell and atoms, written as Quantum ESPRESSO input:
```
&SYSTEM
  ibrav = 0, nat = 7, ntyp = 3
/
ATOMIC_SPECIES
Ru 101.07 Ru.upf
Sc 44.96 Sc.upf
U 238.03 U.upf
ATOMIC_POSITIONS crystal
Ru 0.5000 0.0000 0.7492
Sc 0.5000 0.5000 0.0000
Ru 0.5000 0.0000 0.2508
Ru 0.0000 0.5000 0.2508
Ru 0.5000 0.5000 0.5000
Ru 0.0000 0.5000 0.7492
U 0.0000 0.0000 0.5000
CELL_PARAMETERS angstrom
-1.6594 1.6852 3.8479
-4.1417 -1.3478 -1.1958
0.9218 -5.2093 2.6789
```

Results
Formation enthalpy at 0 K: 0.091 eV per atom
Energy: -63.36 eV for the cell shown
Space-group type: P4/mmm, No. 123
Magnetic moment: 0.00 Bohr magnetons per cell

***

[12]
Sc5URu6 | PBE | optimized geometry Values from VASP.

Cell and atoms, written as Quantum ESPRESSO input:
```
&SYSTEM
  ibrav = 0, nat = 12, ntyp = 3
/
ATOMIC_SPECIES
Ru 101.07 Ru.upf
Sc 44.96 Sc.upf
U 238.03 U.upf
ATOMIC_POSITIONS crystal
Ru 0.8401 0.7585 0.3199
Sc 0.3318 0.5000 0.3363
Ru 0.5000 0.2405 0.0000
Ru 0.8401 0.2415 0.3199
U 0.0000 0.0000 0.0000
Sc 0.6682 0.5000 0.6637
Sc 0.0000 0.5000 0.0000
Sc 0.3278 0.0000 0.3444
Ru 0.1599 0.7585 0.6801
Ru 0.5000 0.7595 0.0000
Ru 0.1599 0.2415 0.6801
Sc 0.6722 0.0000 0.6556
CELL_PARAMETERS angstrom
-1.2350 -4.4117 -0.5602
3.3083 -0.2175 -5.5797
4.9464 -4.1921 3.0963
```

Results
Formation enthalpy at 0 K: -0.624 eV per atom
Energy: -106.09 eV for the cell shown
Space-group type: Cmmm, No. 65
Magnetic moment: 0.00 Bohr magnetons per cell

***

> What is the energy in the eleventh record?

-63.36 eV for the cell shown

***

> Which value of formation enthalpy at 0 K does entry 4 give?

-0.359 eV per atom